TaNbS6 | PBE | optimized geometry

DOS at the Fermi energy ... 0.38 states/eV/atom
Total DFT energy (no corrections) ... -101.8 eV/cell
Calculated density ... 4.50 Mg/m³
Formation energy without anion corrections ... -408.3 kJ/mol of formula units

Cell lengths 10.096, 7.044, 5.911 Å; angles 90.00, 124.99, 90.00 degrees
Space group C2/m (No. 12)
Asymmetric unit:
Ta (0.000, 0.000, 0.000) (multiplicity 2)
Nb (0.000, 0.500, 0.500) (multiplicity 2)
S (0.116, 0.249, 0.864) (multiplicity 8)
S (0.246, 0.000, 0.440) (multiplicity 4)